Record 1
The following is a PBEsol calculation of KIn2Ag2 after structural relaxation, from the Alexandria database.

```
KIn2Ag2
1.0
-2.512 2.512 5.191
2.512 -2.512 5.191
2.512 2.512 -5.191
K In Ag
1 2 2
Direct
0.000 0.000 0.000
0.359 0.359 0.000
0.641 0.641 0.000
0.250 0.750 0.500
0.750 0.250 0.500
```

Values from the calculation:
Energy relative to the lowest polymorph listed for this composition in meV/atom: 8

=====

Record 2
The following is a PBEsol calculation of KInAg2 after structural relaxation, from the Alexandria database.

```
KInAg2
1.0
0.000 3.579 3.579
3.579 0.000 3.579
3.579 3.579 0.000
K In Ag
1 1 2
Direct
0.000 0.000 0.000
0.250 0.250 0.250
0.500 0.500 0.500
0.750 0.750 0.750
```

=====

Number 1: total energy -2.778 eV per atom, ΔE_f -0.034 eV per atom, calculated volume 131.0 Å³ per cell. Number 2: total energy -2.453 eV per atom, ΔE_f 0.232 eV per atom, calculated volume 91.7 Å³ per cell.